Record 1
18
Lattice="8.4956 -4.0097 0.0000 8.4956 4.0097 0.0000 -7.9865 0.0000 9.2714" Properties=species:S:1:pos:R:3 comment="LaTb5Ho3 PBE relaxed" e_form_ev_per_atom=0.415 energy_ev_per_atom=-4.2313 spacegroup="C2/m, No. 12" pbc="T T T"
La 2.9432 0.0000 1.2690
La 6.0616 0.0000 8.0025
Tb -2.4221 0.0000 5.2791
Tb 5.6447 2.3550 2.0453
Tb 3.3601 2.3550 7.2262
Tb -2.3266 0.0000 8.6207
Tb 8.4956 1.4381 0.0000
Tb 8.4956 -1.4381 0.0000
Tb 11.3314 0.0000 0.6507
Tb 5.6447 -2.3550 2.0453
Tb 3.3601 -2.3550 7.2262
Tb 11.4270 0.0000 3.9923
Ho 0.0000 0.0000 0.0000
Ho 0.1243 0.0000 3.1456
Ho 1.0134 0.0000 6.3196
Ho 4.5024 0.0000 4.6357
Ho 7.9914 0.0000 2.9518
Ho 8.8805 0.0000 6.1258

Record 2
4
Lattice="2.4267 -3.9008 0.0000 2.4267 3.9008 0.0000 0.0000 0.0000 2.7773" Properties=species:S:1:pos:R:3 comment="Cr2AsRu PBE relaxed" e_form_ev_per_atom=0.160 energy_ev_per_atom=-8.1330 spacegroup="Cmmm, No. 65" pbc="T T T"
Cr 1.2134 1.9504 0.0000
Cr 1.2134 -1.9504 0.0000
As 0.0000 0.0000 1.3887
Ru 2.4267 0.0000 1.3887

Record 3
4
Lattice="0.0000 3.4672 3.4672 3.4672 0.0000 3.4672 3.4672 3.4672 0.0000" Properties=species:S:1:pos:R:3 comment="CeYCuTc PBE relaxed" e_form_ev_per_atom=-0.072 energy_ev_per_atom=-6.7868 spacegroup="F-43m, No. 216" pbc="T T T"
Ce 0.0000 0.0000 0.0000
Y 3.4672 3.4672 3.4672
Cu 5.2009 5.2009 5.2009
Tc 1.7336 1.7336 1.7336

Record 4
16
Lattice="2.1398 -5.6352 0.0000 2.1398 5.6352 0.0000 0.0000 0.0000 14.6997" Properties=species:S:1:pos:R:3 comment="La3Ga2Ru3 PBE relaxed" e_form_ev_per_atom=-0.413 energy_ev_per_atom=-6.4956 spacegroup="Cmcm, No. 63" pbc="T T T"
La 2.1398 4.6554 9.0526
La 2.1398 4.6554 12.9969
La 2.1398 1.5830 11.0248
La 2.1398 -1.5830 3.6749
La 2.1398 -4.6554 1.7028
La 2.1398 -4.6554 5.6471
Ga 2.1398 3.2822 1.2558
Ga 2.1398 3.2822 6.0941
Ga 2.1398 -3.2822 8.6056
Ga 2.1398 -3.2822 13.4439
Ru 2.1398 2.0504 3.6749
Ru 2.1398 1.1537 7.7620
Ru 2.1398 1.1537 14.2875
Ru 2.1398 -1.1537 0.4122
Ru 2.1398 -1.1537 6.9377
Ru 2.1398 -2.0504 11.0248

What did the first record say?
18
Lattice="8.4956 -4.0097 0.0000 8.4956 4.0097 0.0000 -7.9865 0.0000 9.2714" Properties=species:S:1:pos:R:3 comment="LaTb5Ho3 PBE relaxed" e_form_ev_per_atom=0.415 energy_ev_per_atom=-4.2313 spacegroup="C2/m, No. 12" pbc="T T T"
La 2.9432 0.0000 1.2690
La 6.0616 0.0000 8.0025
Tb -2.4221 0.0000 5.2791
Tb 5.6447 2.3550 2.0453
Tb 3.3601 2.3550 7.2262
Tb -2.3266 0.0000 8.6207
Tb 8.4956 1.4381 0.0000
Tb 8.4956 -1.4381 0.0000
Tb 11.3314 0.0000 0.6507
Tb 5.6447 -2.3550 2.0453
Tb 3.3601 -2.3550 7.2262
Tb 11.4270 0.0000 3.9923
Ho 0.0000 0.0000 0.0000
Ho 0.1243 0.0000 3.1456
Ho 1.0134 0.0000 6.3196
Ho 4.5024 0.0000 4.6357
Ho 7.9914 0.0000 2.9518
Ho 8.8805 0.0000 6.1258